# ScZn2Hg2 (GGA-PBE, relaxed)
# Density of states at the Fermi level = 2.7 states/eV/f.u.
# Crystal system = tetragonal
# Polymorph energy (0 for the lowest one) = 0.0 meV per atom
# Energy of formation from the pure elements = -0.071 eV per atom
# Magnetic moment = 0.0 Bohr magnetons per cell
data_ScZn2Hg2
_chemical_formula_sum 'Sc2 Zn4 Hg4'
_cell_length_a 3.940
_cell_length_b 3.940
_cell_length_c 13.089
_cell_angle_alpha 90.00
_cell_angle_beta 90.00
_cell_angle_gamma 90.00
_symmetry_space_group_name_H-M 'I 4/m m m'
_symmetry_Int_Tables_number 139
_symmetry_space_group_name_Hall '-I 4 2'
loop_
_atom_site_label
_atom_site_fract_x
_atom_site_fract_y
_atom_site_fract_z
Sc1 0.000 0.000 0.000
Zn1 0.000 0.500 0.250
Hg1 0.000 0.000 0.393


# YTc2F2 (GGA-PBE, relaxed)
# Density of states at the Fermi level = 3.2 states/eV/f.u.
# Crystal system = tetragonal
# Polymorph energy (0 for the lowest one) = 0.0 meV per atom
# Energy relative to the elements, uncorrected = -1.07 eV per atom
# Magnetic moment = 0.0 Bohr magnetons per cell
data_YTc2F2
_chemical_formula_sum 'Y2 Tc4 F4'
_cell_length_a 5.472
_cell_length_b 5.472
_cell_length_c 6.109
_cell_angle_alpha 90.00
_cell_angle_beta 90.00
_cell_angle_gamma 90.00
_symmetry_space_group_name_H-M 'P 4/m b m'
_symmetry_Int_Tables_number 127
_symmetry_space_group_name_Hall '-P 4 2ab'
loop_
_atom_site_label
_atom_site_fract_x
_atom_site_fract_y
_atom_site_fract_z
Y1 0.000 0.000 0.000
Tc1 0.143 0.357 0.500
F1 0.149 0.351 0.000


# TaFeTe2 (GGA-PBE, relaxed)
# Density of states at the Fermi level = 3.4 states/eV/f.u.
# Crystal system = orthorhombic
# Energy relative to the elements, uncorrected = -0.03 eV per atom
# Magnetic moment = 2.8 Bohr magnetons per cell
data_TaFeTe2
_chemical_formula_sum 'Ta2 Fe2 Te4'
_cell_length_a 3.587
_cell_length_b 3.929
_cell_length_c 14.764
_cell_angle_alpha 90.00
_cell_angle_beta 90.00
_cell_angle_gamma 90.00
_symmetry_space_group_name_H-M 'I m m m'
_symmetry_Int_Tables_number 71
_symmetry_space_group_name_Hall '-I 2 2'
loop_
_atom_site_label
_atom_site_fract_x
_atom_site_fract_y
_atom_site_fract_z
Ta1 0.000 0.000 0.000
Fe1 0.000 0.000 0.500
Te1 0.000 0.500 0.136


Repeat the second record exactly.
# YTc2F2 (GGA-PBE, relaxed)
# Density of states at the Fermi level = 3.2 states/eV/f.u.
# Crystal system = tetragonal
# Polymorph energy (0 for the lowest one) = 0.0 meV per atom
# Energy relative to the elements, uncorrected = -1.07 eV per atom
# Magnetic moment = 0.0 Bohr magnetons per cell
data_YTc2F2
_chemical_formula_sum 'Y2 Tc4 F4'
_cell_length_a 5.472
_cell_length_b 5.472
_cell_length_c 6.109
_cell_angle_alpha 90.00
_cell_angle_beta 90.00
_cell_angle_gamma 90.00
_symmetry_space_group_name_H-M 'P 4/m b m'
_symmetry_Int_Tables_number 127
_symmetry_space_group_name_Hall '-P 4 2ab'
loop_
_atom_site_label
_atom_site_fract_x
_atom_site_fract_y
_atom_site_fract_z
Y1 0.000 0.000 0.000
Tc1 0.143 0.357 0.500
F1 0.149 0.351 0.000


- Among the records above, which one has the highest magnetic moment?
  TaFeTe2


- magnetic moment of number 3 (TaFeTe2)?
  2.8 Bohr magnetons per cell